DFT (PBE) results for a relaxed structure of CsHPb3.

Unit cell a=5.3046 b=5.3046 c=5.3046 alpha=90.00 beta=90.00 gamma=90.00
With the nearest neighbours (Å) after each atom.
Positions (direct):
Cs 0.0000 0.0000 0.0000  12 Pb 3.75
H 0.5000 0.5000 0.5000  6 Pb 2.65
Pb 0.0000 0.5000 0.5000  2 H 2.65
Pb 0.5000 0.0000 0.5000  2 H 2.65
Pb 0.5000 0.5000 0.0000  2 H 2.65

Output
E above lowest polymorph, meV per atom: 0
Symmetry: Pm-3m, No. 221


DFT (PBE) results for a relaxed structure of Ca2ZnAg.

Unit cell a=4.1288 b=4.6162 c=6.0047 alpha=90.00 beta=109.97 gamma=90.00
With the nearest neighbours (Å) after each atom.
Positions (direct):
Ca 0.0000 0.0000 0.0000  3 Ag 3.15-3.26, 4 Zn 3.21
Ca 0.2875 0.5000 0.5757  3 Zn 3.17-3.24, 4 Ag 3.21-3.22
Zn 0.5743 0.5000 0.1494  2 Ag 2.78
Ag 0.7111 0.0000 0.4225  2 Zn 2.78

Output
Energy of formation from the pure elements, eV/atom: -0.289
Symmetry: Pm, No. 6


DFT (PBE) results for a relaxed structure of TaTcPd2.

Unit cell a=4.4918 b=4.4918 c=4.4918 alpha=60.00 beta=60.00 gamma=60.00
With the nearest neighbours (Å) after each atom.
Positions (direct):
Ta 0.0000 0.0000 0.0000  8 Pd 2.75
Tc 0.5000 0.5000 0.5000  8 Pd 2.75
Pd 0.2500 0.2500 0.2500  4 Ta 2.75, 4 Tc 2.75
Pd 0.7500 0.7500 0.7500  4 Ta 2.75, 4 Tc 2.75

Output
Energy of formation from the pure elements, eV/atom: 0.177
E above lowest polymorph, meV per atom: 0
Symmetry: Fm-3m, No. 225


DFT (PBE) results for a relaxed structure of ErTmCuAg.

Unit cell a=4.9805 b=4.9805 c=4.9805 alpha=60.00 beta=60.00 gamma=60.00
With the nearest neighbours (Å) after each atom.
Positions (direct):
Er 0.0000 0.0000 0.0000  4 Cu 3.05, 4 Ag 3.05
Tm 0.5000 0.5000 0.5000  4 Ag 3.05, 4 Cu 3.05
Cu 0.2500 0.2500 0.2500  4 Tm 3.05, 4 Er 3.05
Ag 0.7500 0.7500 0.7500  4 Er 3.05, 4 Tm 3.05

Output
Energy of formation from the pure elements, eV/atom: -0.288
E above lowest polymorph, meV per atom: 18
Symmetry: F-43m, No. 216


DFT (PBE) results for a relaxed structure of ZnHPtRh.

Unit cell a=5.9591 b=5.9591 c=2.8699 alpha=103.45 beta=103.45 gamma=27.88
With the nearest neighbours (Å) after each atom.
Positions (direct):
Zn 0.0000 0.0000 0.0000  1 H 2.11
H 0.8144 0.8144 0.9310  2 Rh 1.84, 1 Pt 1.88
Pt 0.6503 0.6503 0.6464  1 H 1.88
Rh 0.3411 0.3411 0.3457  2 H 1.84

Output
Calculated total energy, eV/atom: -4.70
Symmetry: Cm, No. 8


DFT (PBE) results for a relaxed structure of Ta5AuS.

Unit cell a=8.9226 b=8.9226 c=8.9226 alpha=60.00 beta=60.00 gamma=60.00
With the nearest neighbours (Å) after each atom.
Positions (direct):
Ta 0.1681 0.1681 0.1681  12 Ta 2.84-3.02
Ta 0.1681 0.1681 0.4958  12 Ta 2.84-3.02
Ta 0.1681 0.4958 0.1681  12 Ta 2.84-3.02
Ta 0.1970 0.1970 0.8030  2 S 2.49
Ta 0.1970 0.8030 0.1970  2 S 2.49
Ta 0.1970 0.8030 0.8030  2 S 2.49
Ta 0.3821 0.3821 0.3821  3 Au 2.77, 6 Ta 2.84-2.98
Ta 0.3821 0.3821 0.8538  3 Au 2.77, 6 Ta 2.84-2.98
Ta 0.3821 0.8538 0.3821  3 Au 2.77, 6 Ta 2.84-2.98
Ta 0.4958 0.1681 0.1681  12 Ta 2.84-3.02
Ta 0.5270 0.5270 0.9730  2 S 2.49
Ta 0.5270 0.9730 0.5270  2 S 2.49
Ta 0.5270 0.9730 0.9730  2 S 2.49
Ta 0.8030 0.1970 0.1970  2 S 2.49
Ta 0.8030 0.1970 0.8030  2 S 2.49
Ta 0.8030 0.8030 0.1970  2 S 2.49
Ta 0.8538 0.3821 0.3821  3 Au 2.77, 6 Ta 2.84-2.98
Ta 0.9730 0.5270 0.5270  2 S 2.49
Ta 0.9730 0.5270 0.9730  2 S 2.49
Ta 0.9730 0.9730 0.5270  2 S 2.49
Au 0.1990 0.6003 0.6003  6 Ta 2.77-2.83
Au 0.6003 0.1990 0.6003  6 Ta 2.77-2.83
Au 0.6003 0.6003 0.1990  6 Ta 2.77-2.83
Au 0.6003 0.6003 0.6003  6 Ta 2.77-2.83
S 0.3942 0.8686 0.8686  6 Ta 2.49
S 0.8686 0.3942 0.8686  6 Ta 2.49
S 0.8686 0.8686 0.3942  6 Ta 2.49
S 0.8686 0.8686 0.8686  6 Ta 2.49

Output
Formation energy from raw total energies, eV per formula unit: -2.279
Symmetry: F-43m, No. 216


DFT (PBE) results for a relaxed structure of PrPuSe3.

Unit cell a=7.7894 b=4.1921 c=16.1814 alpha=90.00 beta=90.00 gamma=90.00
With the nearest neighbours (Å) after each atom.
Positions (direct):
Pr 0.1346 0.2500 0.2030  8 Se 2.97-3.31
Pr 0.3654 0.7500 0.7030  8 Se 2.97-3.31
Pr 0.6346 0.2500 0.2970  8 Se 2.97-3.31
Pr 0.8654 0.7500 0.7970  8 Se 2.97-3.31
Pu 0.2290 0.7500 0.4603  7 Se 2.91-3.11
Pu 0.2710 0.2500 0.9603  7 Se 2.91-3.11
Pu 0.7290 0.7500 0.0397  7 Se 2.91-3.11
Pu 0.7710 0.2500 0.5397  7 Se 2.91-3.11
Se 0.0084 0.2500 0.3938  3 Pu 2.92-3.00, 1 Pr 3.24
Se 0.1255 0.7500 0.0640  3 Pu 2.91-3.11, 2 Pr 3.07
Se 0.1538 0.2500 0.7845  4 Pr 2.97-3.08, 1 Pu 2.99, 1 Se 3.28
Se 0.3462 0.7500 0.2845  4 Pr 2.97-3.08, 1 Pu 2.99, 1 Se 3.28
Se 0.3745 0.2500 0.5640  3 Pu 2.91-3.11, 2 Pr 3.07
Se 0.4916 0.7500 0.8938  3 Pu 2.92-3.00, 1 Pr 3.24
Se 0.5084 0.2500 0.1062  3 Pu 2.92-3.00, 1 Pr 3.24
Se 0.6255 0.7500 0.4360  3 Pu 2.91-3.11, 2 Pr 3.07
Se 0.6538 0.2500 0.7155  4 Pr 2.97-3.08, 1 Pu 2.99, 1 Se 3.28
Se 0.8462 0.7500 0.2155  4 Pr 2.97-3.08, 1 Pu 2.99, 1 Se 3.28
Se 0.8745 0.2500 0.9360  3 Pu 2.91-3.11, 2 Pr 3.07
Se 0.9916 0.7500 0.6062  3 Pu 2.92-3.00, 1 Pr 3.24

Output
Formation energy from raw total energies, eV per formula unit: -8.425
E above lowest polymorph, meV per atom: 0
Symmetry: Pnma, No. 62


DFT (PBE) results for a relaxed structure of Ba2NaPuF8.

Unit cell a=7.3299 b=7.3299 c=7.3299 alpha=131.60 beta=131.60 gamma=70.86
With the nearest neighbours (Å) after each atom.
Positions (direct):
Ba 0.0000 0.0000 0.0000  8 F 2.67
Ba 0.7500 0.2500 0.5000  8 F 2.68
Na 0.5000 0.5000 0.0000  8 F 2.62
Pu 0.2500 0.7500 0.5000  8 F 2.43
F 0.1399 0.1039 0.5074  1 Pu 2.43, 1 Na 2.62, 2 Ba 2.67-2.68
F 0.1399 0.6326 0.0360  1 Pu 2.43, 1 Na 2.62, 2 Ba 2.67-2.68
F 0.3674 0.4034 0.5074  1 Pu 2.43, 1 Na 2.62, 2 Ba 2.67-2.68
F 0.3674 0.8601 0.9640  1 Pu 2.43, 1 Na 2.62, 2 Ba 2.67-2.68
F 0.5966 0.1039 0.9640  1 Pu 2.43, 1 Na 2.62, 2 Ba 2.67-2.68
F 0.5966 0.6326 0.4926  1 Pu 2.43, 1 Na 2.62, 2 Ba 2.67-2.68
F 0.8961 0.4034 0.0360  1 Pu 2.43, 1 Na 2.62, 2 Ba 2.67-2.68
F 0.8961 0.8601 0.4926  1 Pu 2.43, 1 Na 2.62, 2 Ba 2.67-2.68

Output
Formation energy from raw total energies, eV per formula unit: -43.136
Symmetry: I-4m2, No. 119


DFT (PBE) results for a relaxed structure of BaErAu2.

Unit cell a=5.4221 b=5.4221 c=3.6790 alpha=90.00 beta=90.00 gamma=90.00
With the nearest neighbours (Å) after each atom.
Positions (direct):
Ba 0.0000 0.0000 0.0000  8 Au 3.28
Er 0.5000 0.5000 0.0000  8 Au 3.28
Au 0.0000 0.5000 0.5000  4 Ba 3.28, 4 Er 3.28
Au 0.5000 0.0000 0.5000  4 Ba 3.28, 4 Er 3.28

Output
Energy of formation from the pure elements, eV/atom: -0.627
E above lowest polymorph, meV per atom: 127
Symmetry: P4/mmm, No. 123


DFT (PBE) results for a relaxed structure of CsBiRu3.

Unit cell a=4.9640 b=4.9640 c=4.9640 alpha=90.00 beta=90.00 gamma=90.00
With the nearest neighbours (Å) after each atom.
Positions (direct):
Cs 0.0000 0.0000 0.0000  6 Ru 2.48
Bi 0.5000 0.5000 0.5000  12 Ru 3.51
Ru 0.0000 0.0000 0.5000  2 Cs 2.48
Ru 0.0000 0.5000 0.0000  2 Cs 2.48
Ru 0.5000 0.0000 0.0000  2 Cs 2.48

Output
Energy of formation from the pure elements, eV/atom: 2.552
E above lowest polymorph, meV per atom: 782
Symmetry: Pm-3m, No. 221


DFT (PBE) results for a relaxed structure of K2MgZnF6.

Unit cell a=5.7821 b=5.7821 c=5.7821 alpha=60.00 beta=60.00 gamma=60.00
With the nearest neighbours (Å) after each atom.
Positions (direct):
K 0.2500 0.2500 0.2500  12 F 2.89
K 0.7500 0.7500 0.7500  12 F 2.89
Mg 0.0000 0.0000 0.0000  6 F 2.02
Zn 0.5000 0.5000 0.5000  6 F 2.07
F 0.2467 0.2467 0.7533  1 Mg 2.02, 1 Zn 2.07
F 0.2467 0.7533 0.2467  1 Mg 2.02, 1 Zn 2.07
F 0.2467 0.7533 0.7533  1 Mg 2.02, 1 Zn 2.07
F 0.7533 0.2467 0.2467  1 Mg 2.02, 1 Zn 2.07
F 0.7533 0.2467 0.7533  1 Mg 2.02, 1 Zn 2.07
F 0.7533 0.7533 0.2467  1 Mg 2.02, 1 Zn 2.07

Output
Formation energy from raw total energies, eV per formula unit: -29.292
Symmetry: Fm-3m, No. 225


DFT (PBE) results for a relaxed structure of CaSbP2.

Unit cell a=3.2513 b=3.2513 c=8.5854 alpha=90.00 beta=90.00 gamma=90.00
With the nearest neighbours (Å) after each atom.
Positions (direct):
Ca 0.0000 0.0000 0.0000  5 P 2.89-3.14
Sb 0.5000 0.5000 0.7179  4 Sb 3.25, 4 Ca 3.34
P 0.0000 0.0000 0.3362  4 P 2.42
P 0.5000 0.5000 0.2485  4 P 2.42

Output
Formation energy from raw total energies, eV per formula unit: -0.739
Symmetry: P4mm, No. 99


DFT (PBE) results for a relaxed structure of LaSc2Ni.

Unit cell a=6.2311 b=6.2311 c=6.2311 alpha=148.69 beta=130.79 gamma=59.50
With the nearest neighbours (Å) after each atom.
Positions (direct):
La 0.0000 0.0000 0.0000  4 Ni 3.09, 4 Sc 3.36, 2 La 3.36
Sc 0.3034 0.8034 0.5000  2 Ni 2.71
Sc 0.6966 0.1966 0.5000  2 Ni 2.71
Ni 0.5000 0.5000 0.0000  4 Sc 2.71

Output
Energy of formation from the pure elements, eV/atom: -0.123
E above lowest polymorph, meV per atom: 79
Symmetry: Immm, No. 71


DFT (PBE) results for a relaxed structure of CaMn2Ru4.

Unit cell a=6.9904 b=6.9904 c=6.9904 alpha=141.34 beta=141.34 gamma=55.83
With the nearest neighbours (Å) after each atom.
Positions (direct):
Ca 0.0000 0.0000 0.0000  4 Ru 2.31
Mn 0.3930 0.3930 0.0000  1 Ru 2.17
Mn 0.6070 0.6070 0.0000  1 Ru 2.17
Ru 0.0000 0.5000 0.5000  2 Ca 2.31
Ru 0.2172 0.2172 0.0000  1 Mn 2.17
Ru 0.5000 0.0000 0.5000  2 Ca 2.31
Ru 0.7828 0.7828 0.0000  1 Mn 2.17

Output
Energy of formation from the pure elements, eV/atom: 1.719
Symmetry: I4/mmm, No. 139


DFT (PBE) results for a relaxed structure of ScBIr2Ru.

Unit cell a=4.1206 b=4.1206 c=4.1650 alpha=90.00 beta=90.00 gamma=90.00
With the nearest neighbours (Å) after each atom.
Positions (direct):
Sc 0.0000 0.0000 0.0000  4 Ru 2.91, 8 Ir 2.93
B 0.5000 0.5000 0.5000  4 Ir 2.06, 2 Ru 2.08
Ir 0.0000 0.5000 0.5000  2 B 2.06
Ir 0.5000 0.0000 0.5000  2 B 2.06
Ru 0.5000 0.5000 0.0000  2 B 2.08

Output
Energy of formation from the pure elements, eV/atom: -0.602
Symmetry: P4/mmm, No. 123


DFT (PBE) results for a relaxed structure of CePmHo2Tm.

Unit cell a=5.8396 b=7.7249 c=7.1746 alpha=90.00 beta=90.00 gamma=90.00
With the nearest neighbours (Å) after each atom.
Positions (direct):
Ce 0.0000 0.0000 0.0000  2 Ce 2.92, 2 Tm 3.14
Ce 0.5000 0.0000 0.0000  2 Ce 2.92, 2 Tm 3.14
Pm 0.2500 0.5000 0.1634  6 Ho 3.53-3.84, 2 Pm 3.74
Pm 0.7500 0.5000 0.8366  6 Ho 3.53-3.84, 2 Pm 3.74
Ho 0.2500 0.2908 0.6778  1 Tm 3.06, 1 Ho 3.23
Ho 0.2500 0.7092 0.6778  1 Tm 3.06, 1 Ho 3.23
Ho 0.7500 0.2908 0.3222  1 Tm 3.06, 1 Ho 3.23
Ho 0.7500 0.7092 0.3222  1 Tm 3.06, 1 Ho 3.23
Tm 0.2500 0.0000 0.3872  2 Ho 3.06, 2 Ce 3.14, 2 Tm 3.34
Tm 0.7500 0.0000 0.6128  2 Ho 3.06, 2 Ce 3.14, 2 Tm 3.34

Output
Energy of formation from the pure elements, eV/atom: 0.289
Symmetry: Pmma, No. 51